VASP calculation (GGA-PBE) on a relaxed AsHRh crystal.

Values from the calculation:
VASP energy (eV for the cell shown): -30.775
Calculated volume (Å³/cell): 73.84

Geometry as CIF:
```
data_AsHRh
_symmetry_space_group_name_H-M 'P 1'
_symmetry_Int_Tables_number 1
_cell_length_a 4.706
_cell_length_b 3.070
_cell_length_c 5.532
_cell_angle_alpha 90.00
_cell_angle_beta 112.53
_cell_angle_gamma 90.00
loop_
_symmetry_equiv_pos_as_xyz
'x,y,z'
loop_
_atom_site_label
_atom_site_type_symbol
_atom_site_fract_x
_atom_site_fract_y
_atom_site_fract_z
H1 H 0.141 0.000 0.080
H2 H 0.141 0.500 0.580
Rh1 Rh 0.022 0.500 0.215
Rh2 Rh 0.022 0.000 0.715
As1 As 0.609 0.000 0.908
As2 As 0.609 0.500 0.408
```